SrMg5Cd3: optimized geometry, PBE.

Cell lengths 3.860, 8.040, 15.507 Å; angles 90.00, 90.00, 103.89 degrees
Sites, in units of the cell vectors:
1 Mg 0.805 0.610 0.434
2 Mg 0.452 0.904 0.350
3 Mg 0.452 0.904 0.150
4 Mg 0.000 0.000 0.500
5 Mg 0.548 0.096 0.850
6 Mg 0.548 0.096 0.650
7 Mg 0.195 0.390 0.566
8 Mg 0.000 0.000 0.000
9 Mg 0.195 0.390 0.934
10 Mg 0.805 0.610 0.066
11 Cd 0.622 0.244 0.434
12 Cd 0.378 0.756 0.566
13 Cd 0.622 0.244 0.066
14 Cd 0.157 0.314 0.750
15 Cd 0.843 0.686 0.250
16 Cd 0.378 0.756 0.934
17 Sr 0.847 0.695 0.750
18 Sr 0.153 0.305 0.250

Properties
Calculated volume = 25.95 A^3/atom
Energy of formation from the pure elements = -0.104 eV per atom

***

Y2Er3NpN6: optimized geometry, PBE.

Cell lengths 5.961, 5.961, 5.950 Å; angles 99.58, 99.58, 120.02 degrees
Sites, in units of the cell vectors:
1 N 0.917 0.597 0.752
2 N 0.083 0.403 0.248
3 N 0.763 0.763 0.244
4 N 0.597 0.917 0.752
5 N 0.237 0.237 0.756
6 N 0.403 0.083 0.248
7 Er 0.500 0.500 0.500
8 Er 0.168 0.832 0.500
9 Er 0.832 0.168 0.500
10 Y 0.667 0.333 0.000
11 Y 0.333 0.667 0.000
12 Np 0.000 0.000 0.000

Properties
Formation energy (no corrections) = -1640 meV/atom
Calculated volume = 14.38 A^3/atom

***

Cs3Mg2HgF9: optimized geometry, PBE.

Cell lengths 6.163, 6.163, 7.599 Å; angles 90.00, 90.00, 120.00 degrees
Sites, in units of the cell vectors:
1 Cs 0.333 0.667 0.664
2 Cs 0.667 0.333 0.336
3 Cs 0.000 0.000 0.000
4 Hg 0.000 0.000 0.500
5 F 0.179 0.357 0.314
6 F 0.500 0.500 0.000
7 F 0.357 0.179 0.686
8 F 0.000 0.500 0.000
9 F 0.500 0.000 0.000
10 F 0.643 0.821 0.314
11 F 0.821 0.179 0.686
12 F 0.179 0.821 0.314
13 F 0.821 0.643 0.686
14 Mg 0.333 0.667 0.151
15 Mg 0.667 0.333 0.849

Properties
Formation energy (no corrections) = -2802 meV/atom
Calculated volume = 16.66 A^3/atom

***

Th3As2S: optimized geometry, PBE.

Cell lengths 4.203, 5.937, 7.225 Å; angles 114.26, 106.91, 90.00 degrees
Sites, in units of the cell vectors:
1 As 0.170 0.670 0.340
2 As 0.830 0.330 0.660
3 S 0.500 0.000 0.000
4 Th 0.839 0.839 0.678
5 Th 0.500 0.500 0.000
6 Th 0.161 0.161 0.322

Properties
Formation energy (no corrections) = -1533 meV/atom
Calculated volume = 25.96 A^3/atom

***

BaSc2Ni: optimized geometry, PBE.

Cell lengths 5.021, 5.021, 3.826 Å; angles 90.00, 90.00, 97.09 degrees
Sites, in units of the cell vectors:
1 Ni 0.000 0.500 0.500
2 Sc 0.500 0.500 0.000
3 Sc 0.000 0.000 0.000
4 Ba 0.500 0.000 0.500

Properties
Calculated volume = 23.93 A^3/atom
Energy of formation from the pure elements = 0.514 eV per atom

***

V8Fe2H: optimized geometry, PBE.

Cell lengths 4.060, 5.023, 6.778 Å; angles 99.86, 107.43, 90.00 degrees
Sites, in units of the cell vectors:
1 V 0.799 0.842 0.599
2 V 0.003 0.748 0.006
3 V 0.603 0.448 0.207
4 V 0.615 0.939 0.229
5 V 0.997 0.252 0.994
6 V 0.385 0.061 0.771
7 V 0.397 0.552 0.793
8 V 0.201 0.158 0.401
9 Fe 0.799 0.357 0.599
10 Fe 0.201 0.643 0.401
11 H 0.500 0.000 0.000

Properties
Final energy = -93.411 eV/cell
Calculated volume = 11.80 A^3/atom